# TaAl3Pd12, optimized geometry, DFT PBE
data_TaAl3Pd12
_chemical_formula_sum 'Ta1 Al3 Pd12'
_space_group_name_H-M_alt 'P 4/m m m'
_space_group_IT_number 123
_space_group_name_Hall '-P 4 2'
_cell_length_a 3.9257
_cell_length_b 3.9257
_cell_length_c 15.6767
_cell_angle_alpha 90.00
_cell_angle_beta 90.00
_cell_angle_gamma 90.00
loop_
_atom_site_label
_atom_site_type_symbol
_atom_site_fract_x
_atom_site_fract_y
_atom_site_fract_z
Ta1 Ta 0.0000 0.0000 0.0000
Al1 Al 0.0000 0.0000 0.2572
Al2 Al 0.0000 0.0000 0.5000
Pd1 Pd 0.0000 0.5000 0.1247
Pd2 Pd 0.0000 0.5000 0.3756
Pd3 Pd 0.5000 0.5000 0.0000
Pd4 Pd 0.5000 0.5000 0.2501
Pd5 Pd 0.5000 0.5000 0.5000
# E_form, eV per atom: -0.60
# M_tot, μB/cell: 0.00


# Pr4Nd5Y4, optimized geometry, DFT PBE
data_Pr4Nd5Y4
_chemical_formula_sum 'Pr8 Nd10 Y8'
_space_group_name_H-M_alt 'I 4/m'
_space_group_IT_number 87
_space_group_name_Hall '-I 4'
_cell_length_a 13.2189
_cell_length_b 13.2189
_cell_length_c 5.1612
_cell_angle_alpha 90.00
_cell_angle_beta 90.00
_cell_angle_gamma 90.00
loop_
_atom_site_label
_atom_site_type_symbol
_atom_site_fract_x
_atom_site_fract_y
_atom_site_fract_z
Pr1 Pr 0.0770 0.3832 0.0000
Nd1 Nd 0.0000 0.0000 0.0000
Nd2 Nd 0.0399 0.1910 0.5000
Y1 Y 0.1539 0.7688 0.0000
# E_form, eV per atom: 0.01
# M_tot, μB/cell: 0.00


# Ca2Tb5Pm12, optimized geometry, DFT PBE
data_Ca2Tb5Pm12
_chemical_formula_sum 'Ca4 Tb10 Pm24'
_space_group_name_H-M_alt 'C 1 2/m 1'
_space_group_IT_number 12
_cell_length_a 16.4347
_cell_length_b 10.2378
_cell_length_c 7.9284
_cell_angle_alpha 90.00
_cell_angle_beta 90.45
_cell_angle_gamma 90.00
loop_
_space_group_symop_operation_xyz
'x,y,z'
'-x,-y,-z'
'-x,y,-z'
'x,-y,z'
'x+1/2,y+1/2,z'
'-x+1/2,-y+1/2,-z'
'-x+1/2,y+1/2,-z'
'x+1/2,-y+1/2,z'
loop_
_atom_site_label
_atom_site_type_symbol
_atom_site_fract_x
_atom_site_fract_y
_atom_site_fract_z
Ca1 Ca 0.0000 0.2095 0.0000
Tb1 Tb 0.0000 0.0000 0.5000
Tb2 Tb 0.1486 0.5000 0.9086
Tb3 Tb 0.2475 0.0000 0.5009
Pm1 Pm 0.0531 0.5000 0.2994
Pm2 Pm 0.1057 0.2682 0.6076
Pm3 Pm 0.1687 0.0000 0.8783
Pm4 Pm 0.1978 0.2368 0.2040
# E_form, eV per atom: 0.13
# M_tot, μB/cell: 0.00


# CuTeSe2, optimized geometry, DFT PBE
data_CuTeSe2
_chemical_formula_sum 'Cu2 Te2 Se4'
_space_group_name_H-M_alt 'I 4/m m m'
_space_group_IT_number 139
_space_group_name_Hall '-I 4 2'
_cell_length_a 5.7386
_cell_length_b 5.7386
_cell_length_c 5.3576
_cell_angle_alpha 90.00
_cell_angle_beta 90.00
_cell_angle_gamma 90.00
loop_
_atom_site_label
_atom_site_type_symbol
_atom_site_fract_x
_atom_site_fract_y
_atom_site_fract_z
Cu1 Cu 0.0000 0.0000 0.0000
Te1 Te 0.0000 0.0000 0.5000
Se1 Se 0.0000 0.5000 0.0000
# E_form (uncorrected), meV/atom: 72
# M_tot, μB/cell: 0.00


# AsPd, optimized geometry, DFT PBE
data_AsPd
_chemical_formula_sum 'As8 Pd8'
_space_group_name_H-M_alt 'I -4 3 m'
_space_group_IT_number 217
_space_group_name_Hall 'I -4 2 3'
_cell_length_a 7.5950
_cell_length_b 7.5950
_cell_length_c 7.5950
_cell_angle_alpha 90.00
_cell_angle_beta 90.00
_cell_angle_gamma 90.00
loop_
_atom_site_label
_atom_site_type_symbol
_atom_site_fract_x
_atom_site_fract_y
_atom_site_fract_z
As1 As 0.1826 0.1826 0.1826
Pd1 Pd 0.1382 0.1382 0.8618
# E_form, eV per atom: -0.02
# M_tot, μB/cell: 0.00


# EuDyErAl, optimized geometry, DFT PBE
data_EuDyErAl
_chemical_formula_sum 'Eu4 Dy4 Er4 Al4'
_space_group_name_H-M_alt 'F -4 3 m'
_space_group_IT_number 216
_space_group_name_Hall 'F -4 2 3'
_cell_length_a 7.6120
_cell_length_b 7.6120
_cell_length_c 7.6120
_cell_angle_alpha 90.00
_cell_angle_beta 90.00
_cell_angle_gamma 90.00
loop_
_atom_site_label
_atom_site_type_symbol
_atom_site_fract_x
_atom_site_fract_y
_atom_site_fract_z
Eu1 Eu 0.0000 0.0000 0.0000
Dy1 Dy 0.2500 0.2500 0.7500
Er1 Er 0.2500 0.2500 0.2500
Al1 Al 0.0000 0.0000 0.5000
# E_form, eV per atom: -0.02
# M_tot, μB/cell: 29.31


# LiTl8In2, optimized geometry, DFT PBE
data_LiTl8In2
_chemical_formula_sum 'Li1 Tl8 In2'
_space_group_name_H-M_alt 'P 4/m m m'
_space_group_IT_number 123
_space_group_name_Hall '-P 4 2'
_cell_length_a 4.7112
_cell_length_b 4.7112
_cell_length_c 14.2533
_cell_angle_alpha 90.00
_cell_angle_beta 90.00
_cell_angle_gamma 90.00
loop_
_atom_site_label
_atom_site_type_symbol
_atom_site_fract_x
_atom_site_fract_y
_atom_site_fract_z
Li1 Li 0.0000 0.0000 0.0000
Tl1 Tl 0.0000 0.5000 0.1261
Tl2 Tl 0.0000 0.5000 0.5000
Tl3 Tl 0.5000 0.5000 0.3105
In1 In 0.0000 0.0000 0.3058
# Energy above the most stable polymorph in this dataset, eV per formula unit: 0.000
# E_form, eV per atom: 0.00
# M_tot, μB/cell: 0.00


# ZrCoMo2, optimized geometry, DFT PBE
data_ZrCoMo2
_chemical_formula_sum 'Zr3 Co3 Mo6'
_space_group_name_H-M_alt 'R -3 m'
_space_group_IT_number 166
_space_group_name_Hall '-R 3 2"'
_cell_length_a 2.7978
_cell_length_b 2.7978
_cell_length_c 28.5891
_cell_angle_alpha 90.00
_cell_angle_beta 90.00
_cell_angle_gamma 120.00
loop_
_atom_site_label
_atom_site_type_symbol
_atom_site_fract_x
_atom_site_fract_y
_atom_site_fract_z
Zr1 Zr 0.0000 0.0000 0.0000
Co1 Co 0.0000 0.0000 0.5000
Mo1 Mo 0.0000 0.0000 0.2387
# Energy above the most stable polymorph in this dataset, eV per formula unit: 1.607
# E_form, eV per atom: 0.38
# M_tot, μB/cell: 1.37


# ReSiPt2, optimized geometry, DFT PBE
data_ReSiPt2
_chemical_formula_sum 'Re1 Si1 Pt2'
_space_group_name_H-M_alt 'P 4 m m'
_space_group_IT_number 99
_cell_length_a 2.9239
_cell_length_b 2.9239
_cell_length_c 6.8565
_cell_angle_alpha 90.00
_cell_angle_beta 90.00
_cell_angle_gamma 90.00
loop_
_space_group_symop_operation_xyz
'x,y,z'
'-y,x,z'
'-x,-y,z'
'y,-x,z'
'-x,y,z'
'y,x,z'
'x,-y,z'
'-y,-x,z'
loop_
_atom_site_label
_atom_site_type_symbol
_atom_site_fract_x
_atom_site_fract_y
_atom_site_fract_z
Re1 Re 0.0000 0.0000 0.0000
Si1 Si 0.5000 0.5000 0.2169
Pt1 Pt 0.0000 0.0000 0.4243
Pt2 Pt 0.5000 0.5000 0.7358
# E_form (uncorrected), meV/atom: -214
# M_tot, μB/cell: 0.00


# BeTcAs, optimized geometry, DFT PBE
data_BeTcAs
_chemical_formula_sum 'Be4 Tc4 As4'
_space_group_name_H-M_alt 'F -4 3 m'
_space_group_IT_number 216
_space_group_name_Hall 'F -4 2 3'
_cell_length_a 5.6740
_cell_length_b 5.6740
_cell_length_c 5.6740
_cell_angle_alpha 90.00
_cell_angle_beta 90.00
_cell_angle_gamma 90.00
loop_
_atom_site_label
_atom_site_type_symbol
_atom_site_fract_x
_atom_site_fract_y
_atom_site_fract_z
Be1 Be 0.0000 0.0000 0.0000
Tc1 Tc 0.2500 0.2500 0.2500
As1 As 0.0000 0.0000 0.5000
# Energy above the most stable polymorph in this dataset, eV per formula unit: 1.677
# E_form, eV per atom: 0.27
# M_tot, μB/cell: 0.00


# NaPuSn, optimized geometry, DFT PBE
data_NaPuSn
_chemical_formula_sum 'Na1 Pu1 Sn1'
_space_group_name_H-M_alt 'P 3 m 1'
_space_group_IT_number 156
_cell_length_a 5.3460
_cell_length_b 5.3460
_cell_length_c 3.2083
_cell_angle_alpha 90.00
_cell_angle_beta 90.00
_cell_angle_gamma 120.00
loop_
_space_group_symop_operation_xyz
'x,y,z'
'-y,x-y,z'
'-x+y,-x,z'
'-y,-x,z'
'-x+y,y,z'
'x,x-y,z'
loop_
_atom_site_label
_atom_site_type_symbol
_atom_site_fract_x
_atom_site_fract_y
_atom_site_fract_z
Na1 Na 0.0000 0.0000 0.0000
Pu1 Pu 0.6667 0.3333 0.4985
Sn1 Sn 0.3333 0.6667 0.9981
# E_form, eV per atom: -0.07
# M_tot, μB/cell: 6.06


# BeZnGaGe2, optimized geometry, DFT PBE
data_BeZnGaGe2
_chemical_formula_sum 'Be1 Zn1 Ga1 Ge2'
_space_group_name_H-M_alt 'P 4/m m m'
_space_group_IT_number 123
_space_group_name_Hall '-P 4 2'
_cell_length_a 4.5090
_cell_length_b 4.5090
_cell_length_c 4.5720
_cell_angle_alpha 90.00
_cell_angle_beta 90.00
_cell_angle_gamma 90.00
loop_
_atom_site_label
_atom_site_type_symbol
_atom_site_fract_x
_atom_site_fract_y
_atom_site_fract_z
Be1 Be 0.0000 0.0000 0.0000
Zn1 Zn 0.5000 0.5000 0.5000
Ga1 Ga 0.0000 0.0000 0.5000
Ge1 Ge 0.0000 0.5000 0.0000
# E_form, eV per atom: 0.43
# M_tot, μB/cell: 0.00